Record 1
# PaCd2Rh2 (PBE, optimized geometry)
# **VASP energy**: -28.24 eV/cell
# **Volume**: 20.59 Å³/atom
# **Energy of formation**: -0.44 eV/atom
# **Total moment**: 0.0 Bohr magnetons per cell
data_PaCd2Rh2
_symmetry_space_group_name_H-M 'P -1'
_symmetry_Int_Tables_number 2
_cell_length_a 3.522
_cell_length_b 4.452
_cell_length_c 6.836
_cell_angle_alpha 96.18
_cell_angle_beta 104.83
_cell_angle_gamma 90.13
loop_
_symmetry_equiv_pos_as_xyz
'x,y,z'
'-x,-y,-z'
loop_
_atom_site_label
_atom_site_type_symbol
_atom_site_fract_x
_atom_site_fract_y
_atom_site_fract_z
Pa1 Pa 0.000 0.000 0.000
Cd1 Cd 0.270 0.759 0.541
Rh1 Rh 0.412 0.308 0.823

=====

Record 2
# HfP2SI (PBE, optimized geometry)
# **Formation energy without anion corrections**: 1.261 eV per atom
# **VASP energy**: -20.14 eV/cell
# **Volume**: 24.21 Å³/atom
# **Total moment**: 0.0 Bohr magnetons per cell
# **ΔE to the lowest computed polymorph**: 1.107 eV/atom
data_HfP2SI
_symmetry_space_group_name_H-M 'P 4/m m m'
_symmetry_Int_Tables_number 123
_symmetry_space_group_name_Hall '-P 4 2'
_cell_length_a 5.014
_cell_length_b 5.014
_cell_length_c 4.816
_cell_angle_alpha 90.00
_cell_angle_beta 90.00
_cell_angle_gamma 90.00
loop_
_atom_site_label
_atom_site_type_symbol
_atom_site_fract_x
_atom_site_fract_y
_atom_site_fract_z
Hf1 Hf 0.000 0.000 0.000
P1 P 0.000 0.500 0.500
S1 S 0.500 0.500 0.000
I1 I 0.500 0.500 0.500

=====

Record 3
# TaC3O (PBE, optimized geometry)
# **Formation energy without anion corrections**: 2.497 eV per atom
# **VASP energy**: -32.00 eV/cell
# **Volume**: 14.87 Å³/atom
# **Total moment**: 1.8 Bohr magnetons per cell
# **ΔE to the lowest computed polymorph**: 0.366 eV/atom
data_TaC3O
_symmetry_space_group_name_H-M 'P m -3 m'
_symmetry_Int_Tables_number 221
_symmetry_space_group_name_Hall '-P 4 2 3'
_cell_length_a 4.205
_cell_length_b 4.205
_cell_length_c 4.205
_cell_angle_alpha 90.00
_cell_angle_beta 90.00
_cell_angle_gamma 90.00
loop_
_atom_site_label
_atom_site_type_symbol
_atom_site_fract_x
_atom_site_fract_y
_atom_site_fract_z
Ta1 Ta 0.000 0.000 0.000
C1 C 0.000 0.000 0.500
O1 O 0.500 0.500 0.500

=====

Record 4
# NdY3Os (PBE, optimized geometry)
# **VASP energy**: -35.38 eV/cell
# **Volume**: 32.52 Å³/atom
# **Energy of formation**: 0.00 eV/atom
# **Total moment**: 0.0 Bohr magnetons per cell
data_NdY3Os
_symmetry_space_group_name_H-M 'P m -3 m'
_symmetry_Int_Tables_number 221
_symmetry_space_group_name_Hall '-P 4 2 3'
_cell_length_a 5.458
_cell_length_b 5.458
_cell_length_c 5.458
_cell_angle_alpha 90.00
_cell_angle_beta 90.00
_cell_angle_gamma 90.00
loop_
_atom_site_label
_atom_site_type_symbol
_atom_site_fract_x
_atom_site_fract_y
_atom_site_fract_z
Nd1 Nd 0.000 0.000 0.000
Y1 Y 0.000 0.500 0.500
Os1 Os 0.500 0.500 0.500

=====

Record 5
# Sr2CdPb3 (PBE, optimized geometry)
# **VASP energy**: -139.68 eV/cell
# **Volume**: 33.00 Å³/atom
# **Energy of formation**: -0.34 eV/atom
# **Total moment**: 0.0 Bohr magnetons per cell
# **ΔE to the lowest computed polymorph**: 0.038 eV/atom
data_Sr2CdPb3
_symmetry_space_group_name_H-M 'F m m m'
_symmetry_Int_Tables_number 69
_symmetry_space_group_name_Hall '-F 2 2'
_cell_length_a 7.780
_cell_length_b 10.636
_cell_length_c 19.139
_cell_angle_alpha 90.00
_cell_angle_beta 90.00
_cell_angle_gamma 90.00
loop_
_atom_site_label
_atom_site_type_symbol
_atom_site_fract_x
_atom_site_fract_y
_atom_site_fract_z
Sr1 Sr 0.247 0.000 0.000
Sr2 Sr 0.250 0.250 0.250
Cd1 Cd 0.000 0.000 0.335
Pb1 Pb 0.000 0.000 0.174
Pb2 Pb 0.000 0.249 0.416

=====

Record 6
# LaTb2Tm5 (PBE, optimized geometry)
# **VASP energy**: -72.68 eV/cell
# **Volume**: 31.19 Å³/atom
# **Energy of formation**: 0.03 eV/atom
# **Total moment**: 0.0 Bohr magnetons per cell
data_LaTb2Tm5
_symmetry_space_group_name_H-M 'I 4/m m m'
_symmetry_Int_Tables_number 139
_symmetry_space_group_name_Hall '-I 4 2'
_cell_length_a 7.093
_cell_length_b 7.093
_cell_length_c 9.921
_cell_angle_alpha 90.00
_cell_angle_beta 90.00
_cell_angle_gamma 90.00
loop_
_atom_site_label
_atom_site_type_symbol
_atom_site_fract_x
_atom_site_fract_y
_atom_site_fract_z
La1 La 0.000 0.000 0.000
Tb1 Tb 0.000 0.500 0.000
Tm1 Tm 0.000 0.000 0.500
Tm2 Tm 0.250 0.250 0.250

=====

Record 7
# La2HoAl4Au3 (PBE, optimized geometry)
# **VASP energy**: -45.70 eV/cell
# **Volume**: 22.73 Å³/atom
# **Energy of formation**: -0.65 eV/atom
# **Total moment**: 0.0 Bohr magnetons per cell
data_La2HoAl4Au3
_symmetry_space_group_name_H-M 'P -4 m 2'
_symmetry_Int_Tables_number 115
_cell_length_a 4.404
_cell_length_b 4.404
_cell_length_c 11.716
_cell_angle_alpha 90.00
_cell_angle_beta 90.00
_cell_angle_gamma 90.00
loop_
_symmetry_equiv_pos_as_xyz
'x,y,z'
'y,-x,-z'
'-x,-y,z'
'-y,x,-z'
'-x,y,z'
'-y,-x,-z'
'x,-y,z'
'y,x,-z'
loop_
_atom_site_label
_atom_site_type_symbol
_atom_site_fract_x
_atom_site_fract_y
_atom_site_fract_z
La1 La 0.000 0.500 0.233
Ho1 Ho 0.000 0.000 0.500
Al1 Al 0.000 0.000 0.000
Al2 Al 0.000 0.500 0.665
Al3 Al 0.500 0.500 0.000
Au1 Au 0.000 0.500 0.880
Au2 Au 0.500 0.500 0.500

=====

Record 8
# Y3Ag2Au3 (PBE, optimized geometry)
# **VASP energy**: -39.46 eV/cell
# **Volume**: 22.91 Å³/atom
# **Energy of formation**: -0.57 eV/atom
# **Total moment**: 0.0 Bohr magnetons per cell
data_Y3Ag2Au3
_symmetry_space_group_name_H-M 'P -6 2 m'
_symmetry_Int_Tables_number 189
_symmetry_space_group_name_Hall 'P -6 -2'
_cell_length_a 7.3855
_cell_length_b 7.3855
_cell_length_c 3.8802
_cell_angle_alpha 90.00
_cell_angle_beta 90.00
_cell_angle_gamma 120.00
loop_
_atom_site_label
_atom_site_type_symbol
_atom_site_fract_x
_atom_site_fract_y
_atom_site_fract_z
Y1 Y 0.0000 0.6368 0.0000
Ag1 Ag 0.3333 0.6667 0.5000
Au1 Au 0.0000 0.2446 0.5000

=====

Record 9
# Co2MoP (PBE, optimized geometry)
# **VASP energy**: -90.14 eV/cell
# **Volume**: 12.53 Å³/atom
# **Energy of formation**: 0.10 eV/atom
# **Total moment**: 5.5 Bohr magnetons per cell
data_Co2MoP
_symmetry_space_group_name_H-M 'R 3 m'
_symmetry_Int_Tables_number 160
_symmetry_space_group_name_Hall 'R 3 -2"'
_cell_length_a 2.7240
_cell_length_b 2.7240
_cell_length_c 23.3934
_cell_angle_alpha 90.00
_cell_angle_beta 90.00
_cell_angle_gamma 120.00
loop_
_atom_site_label
_atom_site_type_symbol
_atom_site_fract_x
_atom_site_fract_y
_atom_site_fract_z
Co1 Co 0.0000 0.0000 0.0000
Co2 Co 0.0000 0.0000 0.2472
Mo1 Mo 0.0000 0.0000 0.4922
P1 P 0.0000 0.0000 0.7355

=====

Record 10
# MgFeRe4 (PBE, optimized geometry)
# **VASP energy**: -228.98 eV/cell
# **Volume**: 16.47 Å³/atom
# **Energy of formation**: 0.43 eV/atom
# **Total moment**: 12.9 Bohr magnetons per cell
data_MgFeRe4
_symmetry_space_group_name_H-M 'F -4 3 m'
_symmetry_Int_Tables_number 216
_symmetry_space_group_name_Hall 'F -4 2 3'
_cell_length_a 7.339
_cell_length_b 7.339
_cell_length_c 7.339
_cell_angle_alpha 90.00
_cell_angle_beta 90.00
_cell_angle_gamma 90.00
loop_
_atom_site_label
_atom_site_type_symbol
_atom_site_fract_x
_atom_site_fract_y
_atom_site_fract_z
Mg1 Mg 0.000 0.000 0.000
Fe1 Fe 0.250 0.250 0.250
Re1 Re 0.125 0.125 0.625

=====

Record 11
# Pr2ScMnS5 (PBE, optimized geometry)
# **Formation energy without anion corrections**: -1.701 eV per atom
# **VASP energy**: -244.03 eV/cell
# **Volume**: 21.19 Å³/atom
# **Total moment**: 17.0 Bohr magnetons per cell
data_Pr2ScMnS5
_symmetry_space_group_name_H-M 'C m c 21'
_symmetry_Int_Tables_number 36
_cell_length_a 3.895
_cell_length_b 16.699
_cell_length_c 11.730
_cell_angle_alpha 90.00
_cell_angle_beta 90.00
_cell_angle_gamma 90.00
loop_
_symmetry_equiv_pos_as_xyz
'x,y,z'
'-x,-y,z+1/2'
'-x,y,z'
'x,-y,z+1/2'
'x+1/2,y+1/2,z'
'-x+1/2,-y+1/2,z+1/2'
'-x+1/2,y+1/2,z'
'x+1/2,-y+1/2,z+1/2'
loop_
_atom_site_label
_atom_site_type_symbol
_atom_site_fract_x
_atom_site_fract_y
_atom_site_fract_z
Pr1 Pr 0.000 0.114 0.000
Pr2 Pr 0.000 0.130 0.622
Sc1 Sc 0.000 0.199 0.324
Mn1 Mn 0.000 0.442 0.762
S1 S 0.000 0.050 0.373
S2 S 0.000 0.287 0.976
S3 S 0.000 0.310 0.672
S4 S 0.000 0.355 0.313
S5 S 0.000 0.496 0.086

=====

Record 12
# SbMo2Br (PBE, optimized geometry)
# **Formation energy without anion corrections**: 0.427 eV per atom
# **VASP energy**: -51.50 eV/cell
# **Volume**: 23.73 Å³/atom
# **Total moment**: 0.0 Bohr magnetons per cell
# **ΔE to the lowest computed polymorph**: 0.229 eV/atom
data_SbMo2Br
_symmetry_space_group_name_H-M 'I m m 2'
_symmetry_Int_Tables_number 44
_cell_length_a 3.384
_cell_length_b 4.453
_cell_length_c 12.599
_cell_angle_alpha 90.00
_cell_angle_beta 90.00
_cell_angle_gamma 90.00
loop_
_symmetry_equiv_pos_as_xyz
'x,y,z'
'-x,-y,z'
'-x,y,z'
'x,-y,z'
'x+1/2,y+1/2,z+1/2'
'-x+1/2,-y+1/2,z+1/2'
'-x+1/2,y+1/2,z+1/2'
'x+1/2,-y+1/2,z+1/2'
loop_
_atom_site_label
_atom_site_type_symbol
_atom_site_fract_x
_atom_site_fract_y
_atom_site_fract_z
Sb1 Sb 0.000 0.000 0.000
Mo1 Mo 0.000 0.000 0.497
Mo2 Mo 0.000 0.500 0.138
Br1 Br 0.000 0.500 0.764